Entry 1:
Compound: MgBeIr2
Source: the Alexandria database
Functional: GGA-PBE
Structure: relaxed

a b c (Å): 4.1980 4.1980 4.1980
angles (deg): 60.00 60.00 60.00
Last column: nearest neighbours and their distance in Å.
Positions (direct):
Be  0.0000  0.0000  0.0000  8 Ir 2.57
Mg  0.5000  0.5000  0.5000  8 Ir 2.57
Ir  0.2500  0.2500  0.2500  4 Mg 2.57, 4 Be 2.57
Ir  0.7500  0.7500  0.7500  4 Mg 2.57, 4 Be 2.57

Values from the calculation:
- total magnetic moment (μB per formula unit) = 0.0
- space-group type = Fm-3m (225)
- calculated formation energy (kcal/mol of atoms) = -5.76


Entry 2:
Compound: Mg2BeIr
Source: the Alexandria database
Functional: GGA-PBE
Structure: relaxed

a b c (Å): 2.7913 2.7913 8.5531
angles (deg): 90.00 90.00 111.84
Last column: nearest neighbours and their distance in Å.
Positions (direct):
Be  0.5000  0.5000  0.2500  4 Mg 2.66, 4 Be 2.79
Mg  0.0000  0.0000  0.9990  2 Ir 2.64, 2 Be 2.66, 4 Mg 2.79
Mg  0.0000  0.0000  0.5010  2 Ir 2.64, 2 Be 2.66, 4 Mg 2.79
Ir  0.5000  0.5000  0.7500  4 Mg 2.64, 4 Ir 2.79

Values from the calculation:
- total magnetic moment (μB per formula unit) = 0.0
- space-group type = Cmmm (65)
- calculated formation energy (kcal/mol of atoms) = 4.16


Entry 3:
Compound: MgBe2Ir2
Source: the Alexandria database
Functional: GGA-PBE
Structure: relaxed

a b c (Å): 6.7344 6.7344 2.8241
angles (deg): 90.00 90.00 90.00
Last column: nearest neighbours and their distance in Å.
Positions (direct):
Be  0.1483  0.6483  0.5000  6 Ir 2.42-2.43
Be  0.6483  0.8517  0.5000  6 Ir 2.42-2.43
Be  0.8517  0.3517  0.5000  6 Ir 2.42-2.43
Be  0.3517  0.1483  0.5000  6 Ir 2.42-2.43
Mg  0.0000  0.0000  0.0000  4 Ir 2.59, 2 Mg 2.82
Mg  0.5000  0.5000  0.0000  4 Ir 2.59, 2 Mg 2.82
Ir  0.3557  0.8557  0.0000  6 Be 2.42-2.43, 2 Mg 2.59
Ir  0.8557  0.6443  0.0000  6 Be 2.42-2.43, 2 Mg 2.59
Ir  0.6443  0.1443  0.0000  6 Be 2.42-2.43, 2 Mg 2.59
Ir  0.1443  0.3557  0.0000  6 Be 2.42-2.43, 2 Mg 2.59

Values from the calculation:
- total magnetic moment (μB per formula unit) = 0.0
- space-group type = P4/mbm (127)
- calculated formation energy (kcal/mol of atoms) = -7.73


Entry 4:
Compound: Mg2BeIr
Source: the Alexandria database
Functional: GGA-PBE
Structure: relaxed

a b c (Å): 4.7442 4.7442 4.7442
angles (deg): 131.77 131.77 70.59
Last column: nearest neighbours and their distance in Å.
Positions (direct):
Be  0.5000  0.5000  0.0000  4 Ir 2.74, 8 Mg 2.74
Mg  0.0000  0.0000  0.0000  4 Mg 2.74, 4 Ir 2.74, 4 Be 2.74
Mg  0.2500  0.7500  0.5000  4 Be 2.74, 4 Mg 2.74, 4 Ir 2.74
Ir  0.7500  0.2500  0.5000  8 Mg 2.74, 4 Be 2.74

Values from the calculation:
- total magnetic moment (μB per formula unit) = 0.0
- space-group type = I-4m2 (119)
- calculated formation energy (kcal/mol of atoms) = -3.65